(1)
PmErC | PBE-GGA | relaxed

abc: 6.402 3.594 3.594
angles: 120.00 90.00 90.00
Positions (direct):
1 C 0.323 0.333 0.667
2 Er 0.124 0.000 0.000
3 Pm 0.553 0.667 0.333

Values from the calculation:
V (Å³/atom): 23.87
Energy relative to the elements (eV/f.u.): -0.61
E above lowest polymorph (meV per atom): 8
Space-group type: P3m1

***

(2)
Na2Y3CuSe6 | PBE-GGA | relaxed

abc: 7.143 7.143 7.063
angles: 99.22 99.22 120.13
Positions (direct):
1 Se 0.089 0.414 0.258
2 Y 0.500 0.500 0.500
3 Se 0.234 0.234 0.747
4 Na 0.667 0.333 0.000
5 Na 0.333 0.667 0.000
6 Se 0.766 0.766 0.253
7 Se 0.414 0.089 0.258
8 Se 0.586 0.911 0.742
9 Cu 0.000 0.000 0.000
10 Se 0.911 0.586 0.742
11 Y 0.833 0.167 0.500
12 Y 0.167 0.833 0.500

Values from the calculation:
V (Å³/atom): 24.60
Formation energy from raw total energies (eV per atom): -1.47
Space-group type: C2/m

***

(3)
NaAsAuSe3 | PBE-GGA | relaxed

abc: 3.924 8.304 9.323
angles: 102.43 90.00 90.00
Positions (direct):
1 Se 0.750 0.440 0.151
2 Se 0.750 0.883 0.106
3 Se 0.750 0.297 0.546
4 Na 0.750 0.813 0.775
5 As 0.750 0.328 0.880
6 Au 0.750 0.889 0.471
7 As 0.250 0.672 0.120
8 Se 0.250 0.117 0.894
9 Se 0.250 0.560 0.849
10 Na 0.250 0.187 0.225
11 Au 0.250 0.111 0.529
12 Se 0.250 0.703 0.454

Values from the calculation:
V (Å³/atom): 24.72
Formation energy from raw total energies (eV per atom): -0.28
Space-group type: P2_1/m

***

(4)
La2Mg2Rh | PBE-GGA | relaxed

abc: 7.341 7.341 5.656
angles: 90.00 90.00 90.00
Positions (direct):
1 Mg 0.151 0.651 0.500
2 La 0.166 0.334 0.000
3 Rh 0.500 0.500 0.000
4 Mg 0.651 0.849 0.500
5 Rh 0.000 0.000 0.000
6 Mg 0.849 0.349 0.500
7 La 0.334 0.834 0.000
8 Mg 0.349 0.151 0.500
9 La 0.666 0.166 0.000
10 La 0.834 0.666 0.000

Values from the calculation:
V (Å³/atom): 30.47
Energy relative to the elements (eV/f.u.): 0.04
E above lowest polymorph (meV per atom): 122
Space-group type: P4/mbm